Co8Mo: relaxed, PBE.

abc: 5.6297 5.6297 7.5561
angles: 47.85 47.85 84.30
Element x y z (fractional)
Co: 0.0000 0.0000 0.3374
Co: 0.0000 0.0000 0.6626
Co: 0.3374 0.6626 0.0000
Co: 0.3293 0.6707 0.3293
Co: 0.3293 0.6707 0.6707
Co: 0.6626 0.3374 0.0000
Co: 0.6707 0.3293 0.3293
Co: 0.6707 0.3293 0.6707
Mo: 0.0000 0.0000 0.0000

**SG**: No. 139
**ΔE_f**: 0.06 eV per atom
**Volume**: 101.3 Å³/cell